DFT (PBE) results for Ca3Hg5S12 after structural relaxation.

a = 13.6826 Å, b = 13.6826 Å, c = 13.6826 Å
α = 109.47°, β = 109.47°, γ = 109.47°
Fractional positions:
Ca 0.8750 0.1250 0.2500
Ca 0.3750 0.7500 0.6250
Ca 0.8750 0.7500 0.1250
Ca 0.6250 0.3750 0.7500
Ca 0.1250 0.2500 0.8750
Ca 0.7500 0.8750 0.6250
Ca 0.1250 0.8750 0.7500
Ca 0.2500 0.1250 0.3750
Ca 0.3750 0.6250 0.2500
Ca 0.6250 0.2500 0.3750
Ca 0.7500 0.3750 0.1250
Ca 0.2500 0.6250 0.8750
S 0.5823 0.7202 0.6690
S 0.8621 0.2798 0.4488
S 0.9133 0.8310 0.5512
S 0.5867 0.9488 0.6690
S 0.4488 0.7798 0.8621
S 0.0512 0.6379 0.7202
S 0.3621 0.9488 0.7798
S 0.6379 0.0512 0.2202
S 0.8310 0.9133 0.0512
S 0.5512 0.2202 0.1379
S 0.4488 0.6690 0.0867
S 0.9177 0.8310 0.7798
S 0.9488 0.5867 0.1690
S 0.1690 0.0823 0.7202
S 0.2798 0.4177 0.8310
S 0.7202 0.5823 0.1690
S 0.2798 0.8621 0.9488
S 0.5867 0.6379 0.4177
S 0.9488 0.3621 0.2798
S 0.3310 0.7798 0.4177
S 0.8621 0.5823 0.9133
S 0.4177 0.1379 0.5867
S 0.1379 0.4177 0.0867
S 0.0867 0.9177 0.1379
S 0.0867 0.1690 0.4488
S 0.1690 0.0867 0.9488
S 0.6690 0.2202 0.5823
S 0.3310 0.5512 0.4133
S 0.9177 0.0867 0.6379
S 0.5512 0.3310 0.9133
S 0.8310 0.9177 0.2798
S 0.0823 0.9133 0.3621
S 0.2202 0.6690 0.0823
S 0.7798 0.4488 0.3621
S 0.4133 0.0512 0.3310
S 0.6690 0.4488 0.5867
S 0.4177 0.2798 0.3310
S 0.2202 0.5512 0.6379
S 0.3621 0.4133 0.0823
S 0.6379 0.5867 0.9177
S 0.1379 0.7202 0.5512
S 0.9133 0.0823 0.8621
S 0.7202 0.1379 0.0512
S 0.5823 0.8621 0.4133
S 0.7798 0.3310 0.9177
S 0.0512 0.4133 0.8310
S 0.4133 0.3621 0.5823
S 0.0823 0.1690 0.2202
Hg 0.3750 0.1250 0.7500
Hg 0.6250 0.8750 0.2500
Hg 0.0000 0.0000 0.0000
Hg 0.8750 0.2500 0.6250
Hg 0.7500 0.6250 0.3750
Hg 0.2500 0.3750 0.6250
Hg 0.0000 0.5000 0.5000
Hg 0.8750 0.6250 0.7500
Hg 0.5000 0.5000 0.0000
Hg 0.3750 0.2500 0.1250
Hg 0.0000 0.0000 0.5000
Hg 0.5000 0.0000 0.0000
Hg 0.6250 0.7500 0.8750
Hg 0.5000 0.5000 0.5000
Hg 0.1250 0.3750 0.2500
Hg 0.5000 0.0000 0.5000
Hg 0.2500 0.8750 0.1250
Hg 0.7500 0.1250 0.8750
Hg 0.1250 0.7500 0.3750
Hg 0.0000 0.5000 0.0000

## Properties
crystal system	cubic
energy relative to the elements, uncorrected	-0.304	eV/atom
symmetry	Ia-3d



DFT (PBE) results for PuFeH5 after structural relaxation.

a = 4.3429 Å, b = 4.3429 Å, c = 7.3390 Å
α = 64.99°, β = 64.99°, γ = 63.43°
Fractional positions:
Fe 0.0000 0.0000 0.0000
Fe 0.0000 0.0000 0.5000
H 0.4246 0.9120 0.9159
H 0.0880 0.5754 0.5841
H 0.9120 0.4246 0.4159
H 0.5755 0.0874 0.5844
H 0.9126 0.4245 0.9156
H 0.4245 0.9126 0.4156
H 0.9999 0.0001 0.7500
H 0.0001 0.9999 0.2500
H 0.5754 0.0880 0.0841
H 0.0874 0.5755 0.0844
Pu 0.5001 0.4999 0.2500
Pu 0.4999 0.5001 0.7500

## Properties
raw total energy	-5.865	eV/atom
crystal system	orthorhombic
symmetry	Immm



DFT (PBE) results for BeZnNi2Cl after structural relaxation.

a = 4.0901 Å, b = 5.0272 Å, c = 4.0901 Å
α = 90.00°, β = 90.00°, γ = 90.00°
Fractional positions:
Ni 0.5000 0.0000 0.0000
Ni 0.0000 0.0000 0.5000
Zn 0.0000 0.5000 0.0000
Be 0.5000 0.5000 0.5000
Cl 0.0000 0.0000 0.0000

## Properties
crystal system	tetragonal
energy relative to the elements, uncorrected	0.924	eV/atom
symmetry	P4/mmm



DFT (PBE) results for PRuCl3 after structural relaxation.

a = 4.8754 Å, b = 4.8754 Å, c = 4.8754 Å
α = 90.00°, β = 90.00°, γ = 90.00°
Fractional positions:
Cl 0.0000 0.5000 0.0000
Cl 0.5000 0.0000 0.0000
Cl 0.0000 0.0000 0.5000
Ru 0.5000 0.5000 0.5000
P 0.0000 0.0000 0.0000

## Properties
crystal system	cubic
energy relative to the elements, uncorrected	0.759	eV/atom
symmetry	Pm-3m
excess energy over the best structure of this formula in the dataset	269	meV/atom